This record from the Alexandria database describes a relaxed PBr2N crystal. The functional is GGA-PBEsol.

Cell lengths 11.4953, 11.4953, 6.3147 Å; angles 90.00, 90.00, 90.00 degrees
Last column: nearest neighbours and their distance in Å.
Fractional coordinates of all 32 atoms:
P 0.0836 0.2063 0.1947  2 N 1.59
P 0.2063 0.4164 0.3053  2 N 1.59
P 0.2937 0.0836 0.3053  2 N 1.59
P 0.4164 0.2937 0.1947  2 N 1.59
P 0.5836 0.7063 0.8053  2 N 1.59
P 0.7063 0.9164 0.6947  2 N 1.59
P 0.7937 0.5836 0.6947  2 N 1.59
P 0.9164 0.7937 0.8053  2 N 1.59
Br 0.0549 0.1444 0.8719  1 P 2.18
Br 0.0889 0.8044 0.6584  1 P 2.19
Br 0.1444 0.4451 0.6281  1 P 2.18
Br 0.1956 0.5889 0.1584  1 P 2.19
Br 0.3044 0.9111 0.1584  1 P 2.19
Br 0.3556 0.0549 0.6281  1 P 2.18
Br 0.4111 0.6956 0.6584  1 P 2.19
Br 0.4451 0.3556 0.8719  1 P 2.18
Br 0.5549 0.6444 0.1281  1 P 2.18
Br 0.5889 0.3044 0.3416  1 P 2.19
Br 0.6444 0.9451 0.3719  1 P 2.18
Br 0.6956 0.0889 0.8416  1 P 2.19
Br 0.8044 0.4111 0.8416  1 P 2.19
Br 0.8556 0.5549 0.3719  1 P 2.18
Br 0.9111 0.1956 0.3416  1 P 2.19
Br 0.9451 0.8556 0.1281  1 P 2.18
N 0.1202 0.3386 0.1693  2 P 1.59
N 0.1614 0.1202 0.3307  2 P 1.59
N 0.3386 0.3798 0.3307  2 P 1.59
N 0.3798 0.1614 0.1693  2 P 1.59
N 0.6202 0.8386 0.8307  2 P 1.59
N 0.6614 0.6202 0.6693  2 P 1.59
N 0.8386 0.8798 0.6693  2 P 1.59
N 0.8798 0.6614 0.8307  2 P 1.59

## Properties
Fermi-level density of states ... 0.0 states/eV/f.u.
Volume ... 26.076 A^3/atom
Formation energy without anion corrections ... -132 kJ/mol of formula units
DFT total energy ... -155.40 eV/cell
Mass density ... 3.26 Mg/m³
Crystal system ... tetragonal